Material: ZrFe2Cl
Method: DFT, PBE
State: relaxed

The structure belongs to space group Cmmm (No. 65); the cell edges are 3.4169, 4.9622 and 8.0314 Å and the angles 90.00°, 90.00° and 90.00°. The asymmetric unit holds Zr at (0.0000, 0.0000, 0.0000), Fe at (0.0000, 0.5000, 0.2622) and Cl at (0.0000, 0.0000, 0.5000).

The mass density is 5.81 g cm⁻³. Its crystal system is orthorhombic. For the total energy, the calculation gives -6.608 eV per atom. The energy above the lowest structure with this stoichiometry is 383.5 meV per atom. The formation energy without anion corrections comes out at 0.222 eV/atom.

Material: Nb3CuTc
Method: DFT, PBE
State: relaxed

The structure belongs to space group Pm-3m (No. 221); the cell edges are 4.7880, 4.7880 and 4.7880 Å and the angles 90.00°, 90.00° and 90.00°. The asymmetric unit holds Nb at (0.0000, 0.0000, 0.5000), Cu at (0.5000, 0.5000, 0.5000) and Tc at (0.0000, 0.0000, 0.0000).

The mass density is 6.66 g cm⁻³. The calculation puts the formation energy at 6.08 eV per formula unit. Its crystal system is cubic. For the total energy, the calculation gives -7.718 eV per atom. The energy above the lowest structure with this stoichiometry is 0.0 meV per atom.

Material: Mn3SiH
Method: DFT, PBE
State: relaxed

The structure belongs to space group C2/m (No. 12); the cell edges are 12.0314, 3.5980 and 4.9213 Å and the angles 90.00°, 95.26° and 90.00°. The asymmetric unit holds Mn at (0.0119, 0.0000, 0.2487), Mn at (0.0994, 0.5000, 0.9571), Mn at (0.1833, 0.0000, 0.6342), Si at (0.2065, 0.0000, 0.1492) and H at (0.0655, 0.5000, 0.6329).

The mass density is 6.07 g cm⁻³. Its crystal system is monoclinic. For the total energy, the calculation gives -7.193 eV per atom. The energy above the lowest structure with this stoichiometry is 305.3 meV per atom.

Material: NaUPd2S4
Method: DFT, PBE
State: relaxed

The structure belongs to space group I222 (No. 23); the cell edges are 6.6659, 6.6864 and 7.0609 Å and the angles 90.00°, 90.00° and 90.00°. The asymmetric unit holds Na at (0.0000, 0.0000, 0.0000), U at (0.0000, 0.0000, 0.5000), Pd at (0.0000, 0.5000, 0.2244) and S at (0.2194, 0.2209, 0.2668).

The mass density is 6.35 g cm⁻³. Its crystal system is orthorhombic. For the total energy, the calculation gives -5.681 eV per atom. The formation energy without anion corrections comes out at -0.743 eV/atom.

Material: PmSmHo2Tm5
Method: DFT, PBE
State: relaxed

The structure belongs to space group I4/mcm (No. 140); the cell edges are 8.8168, 8.8168 and 14.6883 Å and the angles 90.00°, 90.00° and 90.00°. The asymmetric unit holds Pm at (0.0000, 0.0000, 0.2500), Sm at (0.0000, 0.5000, 0.2500), Ho at (0.1139, 0.3861, 0.0000), Tm at (0.0000, 0.0000, 0.0000) and Tm at (0.2044, 0.2956, 0.3677).

The mass density is 8.55 g cm⁻³. The calculation puts the formation energy at 2.58 eV per formula unit. Its crystal system is tetragonal. For the total energy, the calculation gives -4.266 eV per atom.

Material: K4Rb2Li
Method: DFT, PBE
State: relaxed

The structure belongs to space group I4/mmm (No. 139); the cell edges are 6.8991, 6.8991 and 22.7309 Å and the angles 90.00°, 90.00° and 90.00°. The asymmetric unit holds K at (0.0000, 0.0000, 0.1628), K at (0.0000, 0.5000, 0.0000), Rb at (0.0000, 0.0000, 0.3614) and Li at (0.0000, 0.0000, 0.0000).

The mass density is 1.03 g cm⁻³. The calculation puts the formation energy at 0.82 eV per formula unit. Its crystal system is tetragonal. For the total energy, the calculation gives -1.059 eV per atom.

Material: Nd3Sm2Dy8
Method: DFT, PBE
State: relaxed

The structure belongs to space group C2/m (No. 12); the cell edges are 20.3837, 7.7065 and 5.6486 Å and the angles 90.00°, 90.04° and 90.00°. The asymmetric unit holds Nd at (0.0000, 0.0000, 0.0000), Nd at (0.0000, 0.2923, 0.5000), Sm at (0.2416, 0.0000, 0.9988), Dy at (0.1081, 0.2902, 0.0003), Dy at (0.1336, 0.0000, 0.4996) and Dy at (0.1682, 0.5000, 0.5009).

The mass density is 7.61 g cm⁻³. The calculation puts the formation energy at 3.21 eV per formula unit. Its crystal system is monoclinic. For the total energy, the calculation gives -4.412 eV per atom. The energy above the lowest structure with this stoichiometry is 230.0 meV per atom.

Material: CsS2I2
Method: DFT, PBE
State: relaxed

The structure belongs to space group P4/mbm (No. 127); the cell edges are 9.3654, 9.3654 and 4.9437 Å and the angles 90.00°, 90.00° and 90.00°. The asymmetric unit holds Cs at (0.0000, 0.0000, 0.0000), S at (0.0711, 0.4289, 0.0000) and I at (0.2271, 0.2729, 0.5000).

The mass density is 3.45 g cm⁻³. Its crystal system is tetragonal. For the total energy, the calculation gives -2.835 eV per atom. The energy above the lowest structure with this stoichiometry is 5.8 meV per atom. The formation energy without anion corrections comes out at -0.393 eV/atom.

Material: SbMo2
Method: DFT, PBE
State: relaxed

The structure belongs to space group Cmcm (No. 63); the cell edges are 3.1941, 14.1268 and 4.6737 Å and the angles 90.00°, 90.00° and 90.00°. The asymmetric unit holds Sb at (0.0000, 0.1091, 0.2500), Mo at (0.0000, 0.2182, 0.7500) and Mo at (0.0000, 0.4442, 0.2500).

The mass density is 9.88 g cm⁻³. Its crystal system is orthorhombic. For the total energy, the calculation gives -8.284 eV per atom. The energy above the lowest structure with this stoichiometry is 110.7 meV per atom. The formation energy without anion corrections comes out at 0.311 eV/atom.

Material: KTiP2Cl
Method: DFT, PBE
State: relaxed

The structure belongs to space group P4/mmm (No. 123); the cell edges are 4.6911, 4.6911 and 5.4939 Å and the angles 90.00°, 90.00° and 90.00°. The asymmetric unit holds K at (0.0000, 0.0000, 0.0000), Ti at (0.5000, 0.5000, 0.5000), P at (0.0000, 0.5000, 0.5000) and Cl at (0.5000, 0.5000, 0.0000).

The mass density is 2.53 g cm⁻³. Its crystal system is tetragonal. For the total energy, the calculation gives -4.974 eV per atom. The energy above the lowest structure with this stoichiometry is 0.0 meV per atom. The formation energy without anion corrections comes out at -0.642 eV/atom.

Material: Tm4CdPdAu2
Method: DFT, PBE
State: relaxed

The structure belongs to space group R-3m (No. 166, hexagonal axes); the cell edges are 5.0396, 5.0396 and 24.6507 Å and the angles 90.00°, 90.00° and 120.00°. The asymmetric unit holds Tm at (0.0000, 0.0000, 0.1189), Tm at (0.0000, 0.0000, 0.3701), Cd at (0.0000, 0.0000, 0.5000), Pd at (0.0000, 0.0000, 0.0000) and Au at (0.0000, 0.0000, 0.2427).

The mass density is 11.84 g cm⁻³. The calculation puts the formation energy at -6.07 eV per formula unit. Its crystal system is trigonal. For the total energy, the calculation gives -4.577 eV per atom.

Repeat the eleventh record exactly.
Material: Tm4CdPdAu2
Method: DFT, PBE
State: relaxed

The structure belongs to space group R-3m (No. 166, hexagonal axes); the cell edges are 5.0396, 5.0396 and 24.6507 Å and the angles 90.00°, 90.00° and 120.00°. The asymmetric unit holds Tm at (0.0000, 0.0000, 0.1189), Tm at (0.0000, 0.0000, 0.3701), Cd at (0.0000, 0.0000, 0.5000), Pd at (0.0000, 0.0000, 0.0000) and Au at (0.0000, 0.0000, 0.2427).

The mass density is 11.84 g cm⁻³. The calculation puts the formation energy at -6.07 eV per formula unit. Its crystal system is trigonal. For the total energy, the calculation gives -4.577 eV per atom.